# Ca2ZnBr PBE-GGA optimized geometry
# **Density**: 3.15 g cm⁻³
# **E_form (uncorrected)**: -0.688 eV per atom
# **N(E_F)**: 6.0 states/eV per cell
# **E above lowest polymorph**: 87 meV/atom
data_Ca2ZnBr
_cell_length_a 3.727
_cell_length_b 3.915
_cell_length_c 16.286
_cell_angle_alpha 90.00
_cell_angle_beta 90.00
_cell_angle_gamma 90.00
_space_group_name_H-M_alt 'I m m 2'
_space_group_IT_number 44
_space_group_name_Hall 'I 2 -2'
loop_
_atom_site_label
_atom_site_type_symbol
_atom_site_fract_x
_atom_site_fract_y
_atom_site_fract_z
Ca1 Ca 0.000 0.000 0.000
Ca2 Ca 0.000 0.500 0.274
Zn1 Zn 0.000 0.500 0.859
Br1 Br 0.000 0.000 0.606

---

# CaZnBr PBE-GGA optimized geometry
# **Density**: 3.21 g cm⁻³
# **E_form (uncorrected)**: -0.516 eV per atom
# **N(E_F)**: 7.2 states/eV per cell
# **E above lowest polymorph**: 225 meV/atom
data_CaZnBr
_cell_length_a 7.267
_cell_length_b 7.267
_cell_length_c 7.267
_cell_angle_alpha 90.00
_cell_angle_beta 90.00
_cell_angle_gamma 90.00
_space_group_name_H-M_alt 'F -4 3 m'
_space_group_IT_number 216
_space_group_name_Hall 'F -4 2 3'
loop_
_atom_site_label
_atom_site_type_symbol
_atom_site_fract_x
_atom_site_fract_y
_atom_site_fract_z
Ca1 Ca 0.000 0.000 0.000
Zn1 Zn 0.250 0.250 0.250
Br1 Br 0.250 0.250 0.750

---

# CaZn4Br PBE-GGA optimized geometry
# **Density**: 4.88 g cm⁻³
# **E_form (uncorrected)**: -0.142 eV per atom
# **N(E_F)**: 6.5 states/eV per cell
data_CaZn4Br
_cell_length_a 8.037
_cell_length_b 8.037
_cell_length_c 8.037
_cell_angle_alpha 90.00
_cell_angle_beta 90.00
_cell_angle_gamma 90.00
_space_group_name_H-M_alt 'F -4 3 m'
_space_group_IT_number 216
_space_group_name_Hall 'F -4 2 3'
loop_
_atom_site_label
_atom_site_type_symbol
_atom_site_fract_x
_atom_site_fract_y
_atom_site_fract_z
Ca1 Ca 0.000 0.000 0.000
Zn1 Zn 0.127 0.127 0.627
Br1 Br 0.250 0.250 0.250

---

# CaZn2Br PBE-GGA optimized geometry
# **Density**: 4.02 g cm⁻³
# **E_form (uncorrected)**: -0.390 eV per atom
# **N(E_F)**: 2.1 states/eV per cell
# **E above lowest polymorph**: 207 meV/atom
data_CaZn2Br
_cell_length_a 5.659
_cell_length_b 9.387
_cell_length_c 3.902
_cell_angle_alpha 90.00
_cell_angle_beta 90.00
_cell_angle_gamma 90.00
_space_group_name_H-M_alt 'C m m m'
_space_group_IT_number 65
_space_group_name_Hall '-C 2 2'
loop_
_atom_site_label
_atom_site_type_symbol
_atom_site_fract_x
_atom_site_fract_y
_atom_site_fract_z
Ca1 Ca 0.000 0.000 0.000
Zn1 Zn 0.250 0.250 0.500
Br1 Br 0.000 0.500 0.000

---

# Ca2ZnBr PBE-GGA optimized geometry
# **Density**: 2.95 g cm⁻³
# **E_form (uncorrected)**: -0.107 eV per atom
# **N(E_F)**: 16.5 states/eV per cell
# **E above lowest polymorph**: 669 meV/atom
data_Ca2ZnBr
_cell_length_a 7.977
_cell_length_b 7.977
_cell_length_c 7.977
_cell_angle_alpha 90.00
_cell_angle_beta 90.00
_cell_angle_gamma 90.00
_space_group_name_H-M_alt 'F -4 3 m'
_space_group_IT_number 216
_space_group_name_Hall 'F -4 2 3'
loop_
_atom_site_label
_atom_site_type_symbol
_atom_site_fract_x
_atom_site_fract_y
_atom_site_fract_z
Ca1 Ca 0.000 0.000 0.000
Ca2 Ca 0.250 0.250 0.250
Zn1 Zn 0.250 0.250 0.750
Br1 Br 0.000 0.000 0.500

---

# CaZn2Br PBE-GGA optimized geometry
# **Density**: 3.64 g cm⁻³
# **E_form (uncorrected)**: -0.566 eV per atom
# **N(E_F)**: 1.8 states/eV per cell
# **E above lowest polymorph**: 31 meV/atom
data_CaZn2Br
_cell_length_a 3.726
_cell_length_b 3.726
_cell_length_c 8.249
_cell_angle_alpha 90.00
_cell_angle_beta 93.00
_cell_angle_gamma 90.00
_space_group_name_H-M_alt 'P 1 m 1'
_space_group_IT_number 6
_space_group_name_Hall 'P -2y'
loop_
_atom_site_label
_atom_site_type_symbol
_atom_site_fract_x
_atom_site_fract_y
_atom_site_fract_z
Ca1 Ca 0.000 0.000 0.000
Zn1 Zn 0.037 0.500 0.314
Zn2 Zn 0.537 0.000 0.314
Br1 Br 0.480 0.500 0.824

---

# CaZnBr PBE-GGA optimized geometry
# **Density**: 2.89 g cm⁻³
# **E_form (uncorrected)**: -0.741 eV per atom
# **N(E_F)**: 3.8 states/eV per cell
# **E above lowest polymorph**: 0 meV/atom
data_CaZnBr
_cell_length_a 14.908
_cell_length_b 4.057
_cell_length_c 7.038
_cell_angle_alpha 90.00
_cell_angle_beta 90.00
_cell_angle_gamma 90.00
_space_group_name_H-M_alt 'A m m 2'
_space_group_IT_number 38
_space_group_name_Hall 'A 2 -2'
loop_
_atom_site_label
_atom_site_type_symbol
_atom_site_fract_x
_atom_site_fract_y
_atom_site_fract_z
Ca1 Ca 0.146 0.000 0.000
Zn1 Zn 0.000 0.000 0.669
Zn2 Zn 0.500 0.000 0.982
Br1 Br 0.261 0.000 0.666

---

# Ca2ZnBr PBE-GGA optimized geometry
# **Density**: 3.45 g cm⁻³
# **E_form (uncorrected)**: -0.632 eV per atom
# **N(E_F)**: 5.4 states/eV per cell
# **E above lowest polymorph**: 143 meV/atom
data_Ca2ZnBr
_cell_length_a 7.838
_cell_length_b 7.818
_cell_length_c 3.540
_cell_angle_alpha 90.00
_cell_angle_beta 90.23
_cell_angle_gamma 90.00
_space_group_name_H-M_alt 'C 1 2/m 1'
_space_group_IT_number 12
_space_group_name_Hall '-C 2y'
loop_
_atom_site_label
_atom_site_type_symbol
_atom_site_fract_x
_atom_site_fract_y
_atom_site_fract_z
Ca1 Ca 0.250 0.250 0.000
Zn1 Zn 0.000 0.000 0.500
Br1 Br 0.000 0.500 0.500